GdDyCoGe: relaxed, GGA-PBE.

Cell lengths 4.9375, 4.9375, 4.9375 Å; angles 60.00, 60.00, 60.00 degrees
Each line ends with the local moment (μB).
Element x y z (fractional)
Dy1 0.2500 0.2500 0.2500  0.20
Co1 0.5000 0.5000 0.5000  -1.27
Gd1 0.7500 0.7500 0.7500  7.15
Ge1 0.0000 0.0000 0.0000  -0.10

Output
Calculated density   8.8 Mg/m³
E_form   -1.58 eV/f.u.
Space-group type   F-43m
VASP energy   -0.2939 Ha/atom
Total magnetization   6.2 μB/f.u.

---

AcIn2Bi2: relaxed, GGA-PBE.

Cell lengths 4.9073, 4.6298, 14.4208 Å; angles 90.00, 99.80, 90.00 degrees
Element x y z (fractional)
Bi1 0.2490 0.7500 0.4981
In1 0.9553 0.2500 0.9106
In2 0.4577 0.7500 0.9155
In3 0.5423 0.2500 0.0845
Bi2 0.7510 0.2500 0.5019
In4 0.0447 0.7500 0.0894
Bi3 0.1295 0.2500 0.2590
Ac1 0.6554 0.7500 0.3107
Bi4 0.8705 0.7500 0.7410
Ac2 0.3446 0.2500 0.6893

Output
Calculated density   9.0 Mg/m³
E_form   -1.98 eV/f.u.
Space-group type   Cmcm
VASP energy   -0.1421 Ha/atom
Total magnetization   0.0 μB/f.u.